[1]
A plane-wave DFT calculation with PBE was carried out for crystalline NiOsRh at its relaxed geometry.

Computed properties:
formation energy: 0.099 eV per atom
relative energy among the computed polymorphs: 41.8 meV/atom
total magnetic moment: 0.001 Bohr magnetons per cell
crystal system: trigonal
DFT total energy: -8.02 eV per atom

Cell lengths 2.6817, 2.6817, 6.4279 Å; angles 90.00, 90.00, 120.00 degrees
Space group P3m1 (No. 156)
Inequivalent atoms, fractional coordinates:
Ni 0.0000 0.0000 0.0000 (multiplicity 1)
Os 0.6667 0.3333 0.3190 (multiplicity 1)
Rh 0.3333 0.6667 0.6646 (multiplicity 1)

***

[2]
A plane-wave DFT calculation with PBE was carried out for crystalline Tl2Te2O5 at its relaxed geometry.

Computed properties:
relative energy among the computed polymorphs: 0.0 meV/atom
formation energy from raw total energies: -8.80 eV/f.u.
total magnetic moment: 0.000 Bohr magnetons per cell
crystal system: monoclinic
DFT total energy: -4.96 eV per atom

Cell lengths 7.6022, 12.2189, 8.8478 Å; angles 90.00, 113.55, 90.00 degrees
Space group P2_1/c (No. 14)
Inequivalent atoms, fractional coordinates:
Tl 0.0361 0.2105 0.2893 (multiplicity 4)
Tl 0.3007 0.5647 0.0287 (multiplicity 4)
Te 0.3047 0.0311 0.0197 (multiplicity 4)
Te 0.4297 0.1980 0.7057 (multiplicity 4)
O 0.2301 0.1265 0.7459 (multiplicity 4)
O 0.2347 0.1742 0.1037 (multiplicity 4)
O 0.3720 0.1446 0.4892 (multiplicity 4)
O 0.3953 0.5411 0.7345 (multiplicity 4)
O 0.4481 0.5967 0.4357 (multiplicity 4)

***

[3]
A plane-wave DFT calculation with PBE was carried out for crystalline CdSe2IN at its relaxed geometry.

Computed properties:
relative energy among the computed polymorphs: 0.0 meV/atom
formation energy from raw total energies: 5.31 eV/f.u.
total magnetic moment: 0.000 Bohr magnetons per cell
crystal system: tetragonal
DFT total energy: -2.49 eV per atom

Cell lengths 5.5447, 5.5447, 3.9650 Å; angles 90.00, 90.00, 90.00 degrees
Space group P4/mmm (No. 123)
Inequivalent atoms, fractional coordinates:
Cd 0.0000 0.0000 0.0000 (multiplicity 1)
Se 0.0000 0.5000 0.5000 (multiplicity 2)
I 0.5000 0.5000 0.5000 (multiplicity 1)
N 0.5000 0.5000 0.0000 (multiplicity 1)

***

[4]
A plane-wave DFT calculation with PBE was carried out for crystalline RbCeZnSe3 at its relaxed geometry.

Computed properties:
formation energy from raw total energies: -7.99 eV/f.u.
total magnetic moment: 2.010 Bohr magnetons per cell
crystal system: monoclinic
DFT total energy: -4.44 eV per atom

Cell lengths 9.4998, 4.2847, 10.0942 Å; angles 90.00, 107.36, 90.00 degrees
Space group P2_1/m (No. 11)
Inequivalent atoms, fractional coordinates:
Rb 0.2038 0.2500 0.2335 (multiplicity 2)
Ce 0.3303 0.7500 0.8528 (multiplicity 2)
Zn 0.0833 0.2500 0.6079 (multiplicity 2)
Se 0.1118 0.2500 0.8559 (multiplicity 2)
Se 0.1888 0.7500 0.5316 (multiplicity 2)
Se 0.4598 0.7500 0.1564 (multiplicity 2)

***

[5]
A plane-wave DFT calculation with PBE was carried out for crystalline KPmTe3Pb at its relaxed geometry.

Computed properties:
formation energy from raw total energies: -5.98 eV/f.u.
total magnetic moment: 0.000 Bohr magnetons per cell
crystal system: monoclinic
DFT total energy: -4.16 eV per atom

Cell lengths 9.7863, 4.5477, 11.0001 Å; angles 90.00, 102.14, 90.00 degrees
Space group P2_1/m (No. 11)
Inequivalent atoms, fractional coordinates:
K 0.1730 0.2500 0.1993 (multiplicity 2)
Pm 0.3603 0.7500 0.8451 (multiplicity 2)
Te 0.1230 0.2500 0.8268 (multiplicity 2)
Te 0.3433 0.7500 0.5521 (multiplicity 2)
Te 0.4165 0.7500 0.1375 (multiplicity 2)
Pb 0.1379 0.2500 0.5557 (multiplicity 2)

***

[6]
A plane-wave DFT calculation with PBE was carried out for crystalline NaCa2Dy at its relaxed geometry.

Computed properties:
formation energy: 0.101 eV per atom
relative energy among the computed polymorphs: 1.2 meV/atom
total magnetic moment: 0.562 Bohr magnetons per cell
crystal system: tetragonal
DFT total energy: -2.38 eV per atom

Cell lengths 3.6988, 3.6988, 11.0058 Å; angles 90.00, 90.00, 90.00 degrees
Space group P4/mmm (No. 123)
Inequivalent atoms, fractional coordinates:
Na 0.0000 0.0000 0.0000 (multiplicity 1)
Ca 0.5000 0.5000 0.2606 (multiplicity 2)
Dy 0.0000 0.0000 0.5000 (multiplicity 1)

***

[7]
A plane-wave DFT calculation with PBE was carried out for crystalline Cu2RuBr at its relaxed geometry.

Computed properties:
relative energy among the computed polymorphs: 23.8 meV/atom
formation energy from raw total energies: 1.91 eV/f.u.
total magnetic moment: 2.302 Bohr magnetons per cell
crystal system: monoclinic
DFT total energy: -4.31 eV per atom

Cell lengths 8.0844, 3.0091, 6.3087 Å; angles 90.00, 100.49, 90.00 degrees
Space group Cm (No. 8)
Inequivalent atoms, fractional coordinates:
Cu 0.0000 0.0000 0.0000 (multiplicity 2)
Cu 0.2428 0.5000 0.1680 (multiplicity 2)
Ru 0.2568 0.0000 0.8396 (multiplicity 2)
Br 0.1559 0.5000 0.5231 (multiplicity 2)

***

[8]
A plane-wave DFT calculation with PBE was carried out for crystalline KCdHgAu at its relaxed geometry.

Computed properties:
formation energy: -0.210 eV per atom
relative energy among the computed polymorphs: 0.0 meV/atom
total magnetic moment: 0.000 Bohr magnetons per cell
crystal system: trigonal
DFT total energy: -1.61 eV per atom

Cell lengths 4.8798, 4.8798, 17.9113 Å; angles 90.00, 90.00, 120.00 degrees
Space group R3m (No. 160, hexagonal axes)
Inequivalent atoms, fractional coordinates:
K 0.0000 0.0000 0.0000 (multiplicity 3)
Cd 0.0000 0.0000 0.2060 (multiplicity 3)
Hg 0.0000 0.0000 0.7932 (multiplicity 3)
Au 0.0000 0.0000 0.5204 (multiplicity 3)

***

[9]
A plane-wave DFT calculation with PBE was carried out for crystalline Dy4SnPd7 at its relaxed geometry.

Computed properties:
formation energy: -0.711 eV per atom
total magnetic moment: 0.000 Bohr magnetons per cell
crystal system: monoclinic
DFT total energy: -5.61 eV per atom

Cell lengths 10.7781, 5.1903, 10.3692 Å; angles 90.00, 118.91, 90.00 degrees
Space group C2/m (No. 12)
Inequivalent atoms, fractional coordinates:
Dy 0.0914 0.0000 0.2839 (multiplicity 4)
Dy 0.2105 0.5000 0.1349 (multiplicity 4)
Sn 0.0000 0.5000 0.5000 (multiplicity 2)
Pd 0.0000 0.0000 0.5000 (multiplicity 2)
Pd 0.0766 0.5000 0.8088 (multiplicity 4)
Pd 0.1330 0.0000 0.0217 (multiplicity 4)
Pd 0.2108 0.5000 0.4106 (multiplicity 4)

***

[10]
A plane-wave DFT calculation with PBE was carried out for crystalline ZrTi2TlO at its relaxed geometry.

Computed properties:
formation energy from raw total energies: -5.04 eV/f.u.
total magnetic moment: 0.309 Bohr magnetons per cell
crystal system: tetragonal
DFT total energy: -7.34 eV per atom

Cell lengths 4.1920, 4.1920, 4.6523 Å; angles 90.00, 90.00, 90.00 degrees
Space group P4/mmm (No. 123)
Inequivalent atoms, fractional coordinates:
Zr 0.0000 0.0000 0.0000 (multiplicity 1)
Ti 0.0000 0.5000 0.5000 (multiplicity 2)
Tl 0.5000 0.5000 0.0000 (multiplicity 1)
O 0.0000 0.0000 0.5000 (multiplicity 1)

***

[11]
A plane-wave DFT calculation with PBE was carried out for crystalline Te2WIN at its relaxed geometry.

Computed properties:
relative energy among the computed polymorphs: 1076.4 meV/atom
formation energy from raw total energies: 7.19 eV/f.u.
total magnetic moment: 2.005 Bohr magnetons per cell
crystal system: tetragonal
DFT total energy: -4.39 eV per atom

Cell lengths 5.2512, 5.2512, 5.8506 Å; angles 90.00, 90.00, 90.00 degrees
Space group P4/mmm (No. 123)
Inequivalent atoms, fractional coordinates:
Te 0.0000 0.5000 0.0000 (multiplicity 2)
W 0.0000 0.0000 0.0000 (multiplicity 1)
I 0.0000 0.0000 0.5000 (multiplicity 1)
N 0.5000 0.5000 0.5000 (multiplicity 1)

***

[12]
A plane-wave DFT calculation with PBE was carried out for crystalline FePb2 at its relaxed geometry.

Computed properties:
formation energy: 0.474 eV per atom
total magnetic moment: 2.201 Bohr magnetons per cell
crystal system: trigonal
DFT total energy: -4.82 eV per atom

Cell lengths 3.5191, 3.5191, 6.7559 Å; angles 90.00, 90.00, 120.00 degrees
Space group P-3m1 (No. 164)
Inequivalent atoms, fractional coordinates:
Fe 0.0000 0.0000 0.0000 (multiplicity 1)
Pb 0.3333 0.6667 0.7164 (multiplicity 2)

***

[13]
A plane-wave DFT calculation with PBE was carried out for crystalline CeHo2Cd3 at its relaxed geometry.

Computed properties:
formation energy: -0.248 eV per atom
total magnetic moment: 1.738 Bohr magnetons per cell
crystal system: tetragonal
DFT total energy: -3.22 eV per atom

Cell lengths 3.7018, 3.7018, 11.6344 Å; angles 90.00, 90.00, 90.00 degrees
Space group P4/mmm (No. 123)
Inequivalent atoms, fractional coordinates:
Ce 0.0000 0.0000 0.0000 (multiplicity 1)
Ho 0.0000 0.0000 0.3392 (multiplicity 2)
Cd 0.5000 0.5000 0.1813 (multiplicity 2)
Cd 0.5000 0.5000 0.5000 (multiplicity 1)